First-principles (PBE) data for CsRbZn2Au after structural relaxation, as listed in the Alexandria database.

The structure in POSCAR format:
```
CsRbZn2Au
1.0
-3.961 -1.031 3.287
2.875 -3.747 2.290
2.293 4.266 4.102
Au Cs Zn Rb
1 1 2 1
Cartesian
0.000 0.000 0.000
0.603 -0.256 4.839
1.438 -1.874 1.145
-1.981 -0.515 1.643
1.147 2.133 2.051
```

Results
- Mass density: 5.19 Mg/m³
- N(E_F): 0.61 states/eV per atom
- DFT total energy: -1.486 eV/atom
- E_form: 0.04 eV/atom

=====

First-principles (PBE) data for CsRb2ZnAu after structural relaxation, as listed in the Alexandria database.

The structure in POSCAR format:
```
CsRb2ZnAu
1.0
-0.822 2.982 6.155
3.424 -5.187 2.970
4.524 2.608 -0.659
Cs Zn Rb Au
1 1 2 1
Cartesian
3.563 0.201 4.233
2.262 1.304 -0.330
-0.411 1.491 3.078
1.712 -2.594 1.485
0.000 0.000 0.000
```

Results
- Mass density: 3.76 Mg/m³
- N(E_F): 0.51 states/eV per atom
- DFT total energy: -1.489 eV/atom
- E_form: -0.02 eV/atom

=====

First-principles (PBE) data for Cs3ReAu after structural relaxation, as listed in the Alexandria database.

The structure in POSCAR format:
```
Cs3ReAu
1.0
-2.178 -5.426 3.460
3.387 -4.072 -4.255
5.472 0.361 4.010
Re Cs Au
1 3 1
Cartesian
3.341 -4.569 1.607
-1.089 -2.713 1.730
2.736 0.180 2.005
1.693 -2.036 -2.128
0.000 0.000 0.000
```

Results
- Mass density: 4.14 Mg/m³
- N(E_F): 1.12 states/eV per atom
- DFT total energy: -2.453 eV/atom
- E_form: 1.20 eV/atom

=====

First-principles (PBE) data for Cs2ReAu after structural relaxation, as listed in the Alexandria database.

The structure in POSCAR format:
```
Cs2ReAu
1.0
-4.512 1.776 3.387
-0.656 5.737 1.283
-4.457 3.073 -2.384
Cs Au Re
2 1 1
Cartesian
-7.219 7.940 1.715
-2.406 2.647 0.572
-4.813 5.293 1.143
0.000 0.000 0.000
```

Results
- Mass density: 7.36 Mg/m³
- N(E_F): 1.36 states/eV per atom
- DFT total energy: -2.922 eV/atom
- E_form: 1.44 eV/atom

=====

First-principles (PBE) data for CsRe3Au after structural relaxation, as listed in the Alexandria database.

The structure in POSCAR format:
```
CsRe3Au
1.0
4.881 0.000 0.000
0.000 4.881 0.000
0.000 0.000 4.881
Re Cs Au
3 1 1
Cartesian
0.000 0.000 2.441
2.441 0.000 0.000
0.000 2.441 0.000
0.000 0.000 0.000
2.441 2.441 2.441
```

Results
- Mass density: 12.69 Mg/m³
- N(E_F): 1.22 states/eV per atom
- DFT total energy: -4.200 eV/atom
- E_form: 4.09 eV/atom

=====

First-principles (PBE) data for CsReAu3 after structural relaxation, as listed in the Alexandria database.

The structure in POSCAR format:
```
CsReAu3
1.0
5.955 0.000 0.000
0.000 5.955 0.000
0.000 0.000 5.955
Re Au Cs
1 3 1
Cartesian
2.978 2.978 2.978
2.978 0.000 0.000
0.000 0.000 2.978
0.000 2.978 0.000
0.000 0.000 0.000
```

Results
- Mass density: 7.15 Mg/m³
- N(E_F): 0.50 states/eV per atom
- DFT total energy: -2.279 eV/atom
- E_form: 2.35 eV/atom

=====

First-principles (PBE) data for CsRe3Au after structural relaxation, as listed in the Alexandria database.

The structure in POSCAR format:
```
CsRe3Au
1.0
-4.005 -3.031 1.163
0.741 -2.651 -4.359
3.161 -3.219 2.495
Au Cs Re
1 1 3
Cartesian
0.000 0.000 0.000
-0.051 -4.451 -0.351
-2.002 -1.516 0.582
1.581 -1.610 1.247
0.370 -1.325 -2.180
```

Results
- Mass density: 10.77 Mg/m³
- N(E_F): 0.96 states/eV per atom
- DFT total energy: -5.379 eV/atom
- E_form: 2.92 eV/atom

=====

First-principles (PBE) data for CsRe2Au after structural relaxation, as listed in the Alexandria database.

The structure in POSCAR format:
```
CsRe2Au
1.0
-0.997 -4.582 0.663
-2.256 -1.389 3.926
-4.482 -1.509 -0.253
Cs Au Re
1 1 2
Cartesian
0.000 0.000 0.000
-3.868 -3.740 2.168
-1.934 -1.870 1.084
-5.802 -5.609 3.252
```

Results
- Mass density: 15.52 Mg/m³
- N(E_F): 1.01 states/eV per atom
- DFT total energy: -4.974 eV/atom
- E_form: 2.28 eV/atom

=====

First-principles (PBE) data for CsReAu3 after structural relaxation, as listed in the Alexandria database.

The structure in POSCAR format:
```
CsReAu3
1.0
-1.258 5.050 -0.165
-3.713 -0.808 3.560
3.427 0.978 3.797
Au Re Cs
3 1 1
Cartesian
-0.629 2.525 -0.083
-1.857 -0.404 1.780
1.713 0.489 1.898
0.000 0.000 0.000
-0.772 2.610 3.595
```

Results
- Mass density: 10.70 Mg/m³
- N(E_F): 0.92 states/eV per atom
- DFT total energy: -3.985 eV/atom
- E_form: 0.64 eV/atom

=====

First-principles (PBE) data for CsRhAu2 after structural relaxation, as listed in the Alexandria database.

The structure in POSCAR format:
```
CsRhAu2
1.0
0.000 3.622 3.622
3.622 0.000 3.622
3.622 3.622 0.000
Cs Rh Au
1 1 2
Cartesian
3.622 3.622 3.622
0.000 0.000 0.000
1.811 1.811 1.811
5.433 5.433 5.433
```

Results
- Mass density: 11.00 Mg/m³
- N(E_F): 0.14 states/eV per atom
- DFT total energy: -2.922 eV/atom
- E_form: 0.77 eV/atom

=====

First-principles (PBE) data for CsRh3Au after structural relaxation, as listed in the Alexandria database.

The structure in POSCAR format:
```
CsRh3Au
1.0
-0.954 2.539 -4.089
-4.633 0.647 1.482
1.306 4.149 2.271
Rh Au Cs
3 1 1
Cartesian
-0.477 1.269 -2.045
0.653 2.074 1.135
-2.316 0.324 0.741
-2.140 3.667 -0.168
0.000 0.000 0.000
```

Results
- Mass density: 8.98 Mg/m³
- N(E_F): 1.15 states/eV per atom
- DFT total energy: -3.156 eV/atom
- E_form: 2.08 eV/atom

=====

First-principles (PBE) data for CsRhAuS2 after structural relaxation, as listed in the Alexandria database.

The structure in POSCAR format:
```
CsRhAuS2
1.0
7.367 0.000 0.000
0.000 5.722 0.000
0.000 -2.861 6.458
Au Rh Cs S
2 2 2 4
Cartesian
0.000 0.000 0.000
0.000 2.861 0.000
3.683 4.291 0.000
3.683 1.430 0.000
1.925 2.861 3.229
5.442 0.000 3.229
2.155 0.000 1.031
5.211 2.861 1.031
5.211 2.861 5.427
2.155 0.000 5.427
```

Results
- E_form (uncorrected): -0.52 eV/atom
- Mass density: 6.06 Mg/m³
- N(E_F): 0.51 states/eV per atom
- DFT total energy: -4.464 eV/atom

=====

First-principles (PBE) data for CsRh2AuS after structural relaxation, as listed in the Alexandria database.

The structure in POSCAR format:
```
CsRh2AuS
1.0
5.023 0.000 0.000
0.000 6.523 0.000
0.000 0.000 5.023
Au S Rh Cs
1 1 2 1
Cartesian
0.000 0.000 0.000
2.512 3.262 2.512
0.000 0.000 2.512
2.512 0.000 0.000
0.000 3.262 0.000
```

Results
- E_form (uncorrected): 1.24 eV/atom
- Mass density: 5.73 Mg/m³
- N(E_F): 1.74 states/eV per atom
- DFT total energy: -3.352 eV/atom

=====

First-principles (PBE) data for Cs2TiRhAu after structural relaxation, as listed in the Alexandria database.

The structure in POSCAR format:
```
Cs2TiRhAu
1.0
6.990 0.000 0.000
0.000 4.482 0.000
0.000 0.000 6.990
Au Cs Rh Ti
1 2 1 1
Cartesian
3.495 2.241 3.495
3.495 0.000 0.000
0.000 0.000 3.495
0.000 2.241 0.000
0.000 0.000 0.000
```

Results
- Mass density: 4.65 Mg/m³
- N(E_F): 0.94 states/eV per atom
- DFT total energy: -3.441 eV/atom
- E_form: 0.60 eV/atom